Entry from the Alexandria database: a geometry-optimized Sc3Tc5N12 structure (PBE-GGA).

Cell: 10.726 10.726 10.726 Å, 109.47 109.47 109.47°
Positions (direct):
1 N 0.973 0.378 0.292
2 N 0.587 0.708 0.681
3 N 0.594 0.622 0.413
4 N 0.527 0.319 0.906
5 N 0.819 0.913 0.292
6 N 0.681 0.473 0.594
7 N 0.208 0.527 0.622
8 N 0.027 0.406 0.819
9 N 0.094 0.181 0.473
10 N 0.292 0.413 0.819
11 N 0.378 0.973 0.792
12 N 0.708 0.122 0.027
13 N 0.094 0.913 0.122
14 N 0.087 0.181 0.208
15 N 0.473 0.792 0.878
16 N 0.087 0.906 0.378
17 N 0.208 0.681 0.087
18 N 0.406 0.378 0.587
19 N 0.406 0.027 0.319
20 N 0.292 0.878 0.973
21 N 0.792 0.473 0.378
22 N 0.587 0.878 0.406
23 N 0.819 0.906 0.027
24 N 0.878 0.587 0.906
25 N 0.681 0.208 0.587
26 N 0.413 0.292 0.319
27 N 0.973 0.594 0.181
28 N 0.622 0.027 0.208
29 N 0.319 0.527 0.406
30 N 0.181 0.087 0.708
31 N 0.792 0.319 0.913
32 N 0.027 0.622 0.708
33 N 0.181 0.094 0.973
34 N 0.913 0.094 0.622
35 N 0.378 0.406 0.087
36 N 0.527 0.208 0.122
37 N 0.413 0.122 0.594
38 N 0.473 0.681 0.094
39 N 0.319 0.792 0.413
40 N 0.913 0.819 0.792
41 N 0.594 0.973 0.681
42 N 0.622 0.594 0.913
43 N 0.906 0.819 0.527
44 N 0.906 0.087 0.878
45 N 0.122 0.413 0.094
46 N 0.878 0.292 0.473
47 N 0.708 0.587 0.181
48 N 0.122 0.708 0.527
49 Tc 0.250 0.375 0.625
50 Tc 0.000 0.000 0.000
51 Tc 0.125 0.375 0.250
52 Tc 0.000 0.000 0.500
53 Tc 0.250 0.875 0.125
54 Tc 0.000 0.500 0.000
55 Tc 0.500 0.000 0.000
56 Tc 0.500 0.000 0.500
57 Tc 0.125 0.750 0.375
58 Tc 0.000 0.500 0.500
59 Tc 0.500 0.500 0.500
60 Tc 0.375 0.125 0.750
61 Tc 0.875 0.625 0.750
62 Tc 0.750 0.625 0.375
63 Tc 0.750 0.125 0.875
64 Tc 0.500 0.500 0.000
65 Tc 0.875 0.250 0.625
66 Tc 0.625 0.875 0.250
67 Tc 0.625 0.750 0.875
68 Tc 0.375 0.250 0.125
69 Sc 0.250 0.625 0.875
70 Sc 0.875 0.750 0.125
71 Sc 0.750 0.375 0.125
72 Sc 0.250 0.125 0.375
73 Sc 0.125 0.250 0.875
74 Sc 0.125 0.875 0.750
75 Sc 0.625 0.250 0.375
76 Sc 0.375 0.625 0.250
77 Sc 0.875 0.125 0.250
78 Sc 0.375 0.750 0.625
79 Sc 0.750 0.875 0.625
80 Sc 0.625 0.375 0.750

Properties
space group	Ia-3d
final energy	-0.3251	Ha/atom
formation energy (no corrections)	-0.311	eV per atom
crystal system	cubic



Entry from the Alexandria database: a geometry-optimized Li2La3Cu2Au4 structure (PBE-GGA).

Cell: 4.536 4.536 14.629 Å, 90.00 90.00 120.00°
Positions (direct):
1 Au 0.333 0.667 0.376
2 Au 0.667 0.333 0.624
3 Au 0.667 0.333 0.130
4 Au 0.333 0.667 0.870
5 La 0.000 0.000 0.260
6 La 0.000 0.000 0.000
7 La 0.000 0.000 0.740
8 Cu 0.667 0.333 0.867
9 Cu 0.333 0.667 0.133
10 Li 0.333 0.667 0.558
11 Li 0.667 0.333 0.442

Properties
space group	P-3m1
ΔE_f	-0.547	eV per atom
final energy	-0.1534	Ha/atom
crystal system	trigonal



Entry from the Alexandria database: a geometry-optimized CsNbBiOs2 structure (PBE-GGA).

Cell: 4.895 5.677 4.895 Å, 90.00 90.00 90.00°
Positions (direct):
1 Os 0.500 0.000 0.000
2 Os 0.000 0.000 0.500
3 Cs 0.000 0.500 0.000
4 Nb 0.000 0.000 0.000
5 Bi 0.500 0.500 0.500

Properties
space group	P4/mmm
ΔE_f	1.884	eV per atom
final energy	-0.2046	Ha/atom
crystal system	tetragonal



Entry from the Alexandria database: a geometry-optimized TcBiI structure (PBE-GGA).

Cell: 3.360 3.777 13.888 Å, 97.85 96.74 90.01°
Positions (direct):
1 I 0.306 0.312 0.130
2 I 0.694 0.688 0.870
3 Tc 0.120 0.612 0.720
4 Tc 0.880 0.388 0.280
5 Bi 0.573 0.063 0.622
6 Bi 0.427 0.937 0.378

Properties
space group	P-1
final energy	-0.1787	Ha/atom
formation energy (no corrections)	0.403	eV per atom
crystal system	triclinic



Entry from the Alexandria database: a geometry-optimized CeZnPdRu structure (PBE-GGA).

Cell: 3.706 3.994 4.704 Å, 90.00 90.00 90.00°
Positions (direct):
1 Zn 0.500 0.000 0.500
2 Pd 0.000 0.500 0.500
3 Ce 0.500 0.500 0.000
4 Ru 0.000 0.000 0.000

Properties
space group	Pmmm
ΔE_f	-0.500	eV per atom
final energy	-0.2175	Ha/atom
crystal system	orthorhombic



Entry from the Alexandria database: a geometry-optimized KCa2As structure (PBE-GGA).

Cell: 9.773 9.773 9.773 Å, 156.73 153.98 35.18°
Positions (direct):
1 K 0.426 0.426 0.000
2 Ca 0.102 0.102 0.000
3 Ca 0.749 0.249 0.500
4 As 0.223 0.723 0.500

Properties
space group	Imm2
ΔE_f	-0.495	eV per atom
final energy	-0.1078	Ha/atom
crystal system	orthorhombic



Q: Number 3 is which compound?
A: CsNbBiOs2



Q: What is the final energy in the fifth record?
A: -0.2175 Ha/atom



Q: Which value of final energy does entry 2 give?
A: -0.1534 Ha/atom